# 1
# Sr3LaSc GGA-PBEsol optimized geometry
data_Sr3LaSc
_cell_length_a 5.988
_cell_length_b 5.988
_cell_length_c 5.988
_cell_angle_alpha 90.00
_cell_angle_beta 90.00
_cell_angle_gamma 90.00
_space_group_name_H-M_alt 'P m -3 m'
_space_group_IT_number 221
_space_group_name_Hall '-P 4 2 3'
loop_
_atom_site_label
_atom_site_type_symbol
_atom_site_fract_x
_atom_site_fract_y
_atom_site_fract_z
_atom_site_occupancy
Sr1 Sr 0.000 0.000 0.500 1
La1 La 0.000 0.000 0.000 1
Sc1 Sc 0.500 0.500 0.500 1
# ΔH_f (0 K), meV per atom: 930



# 2
VASP calculation (GGA-PBEsol) on a relaxed structure of Sm3S4.

Geometry as CIF:
```
data_Sm3S4
_cell_length_a 8.339
_cell_length_b 8.339
_cell_length_c 8.339
_cell_angle_alpha 90.00
_cell_angle_beta 90.00
_cell_angle_gamma 90.00
_space_group_name_H-M_alt 'I -4 3 d'
_space_group_IT_number 220
_space_group_name_Hall 'I -4bd 2c 3'
loop_
_atom_site_label
_atom_site_type_symbol
_atom_site_fract_x
_atom_site_fract_y
_atom_site_fract_z
_atom_site_occupancy
Sm1 Sm 0.000 0.250 0.375 1
S1 S 0.075 0.075 0.075 1
```



# 3
# CoCuB2 GGA-PBEsol optimized geometry
data_CoCuB2
_cell_length_a 3.396
_cell_length_b 3.396
_cell_length_c 13.759
_cell_angle_alpha 90.00
_cell_angle_beta 90.00
_cell_angle_gamma 90.00
_space_group_name_H-M_alt 'I 41/a m d'
_space_group_IT_number 141
loop_
_space_group_symop_operation_xyz
'x,y,z'
'-x,-y,-z'
'-y+1/4,x+3/4,z+1/4'
'y+1/4,-x+3/4,-z+1/4'
'-x+1/2,-y,z+1/2'
'x+1/2,y,-z+1/2'
'y+1/4,-x+1/4,z+3/4'
'-y+1/4,x+1/4,-z+3/4'
'x,-y,-z'
'-x,y,z'
'-y+1/4,-x+1/4,-z+3/4'
'y+1/4,x+1/4,z+3/4'
'-x+1/2,y,-z+1/2'
'x+1/2,-y,z+1/2'
'y+1/4,x+3/4,-z+1/4'
'-y+1/4,-x+3/4,z+1/4'
'x+1/2,y+1/2,z+1/2'
'-x+1/2,-y+1/2,-z+1/2'
'-y+3/4,x+1/4,z+3/4'
'y+3/4,-x+1/4,-z+3/4'
'-x,-y+1/2,z'
'x,y+1/2,-z'
'y+3/4,-x+3/4,z+1/4'
'-y+3/4,x+3/4,-z+1/4'
'x+1/2,-y+1/2,-z+1/2'
'-x+1/2,y+1/2,z+1/2'
'-y+3/4,-x+3/4,-z+1/4'
'y+3/4,x+3/4,z+1/4'
'-x,y+1/2,-z'
'x,-y+1/2,z'
'y+3/4,x+1/4,-z+3/4'
'-y+3/4,-x+1/4,z+3/4'
loop_
_atom_site_label
_atom_site_type_symbol
_atom_site_fract_x
_atom_site_fract_y
_atom_site_fract_z
_atom_site_occupancy
Co1 Co 0.000 0.250 0.375 1
Cu1 Cu 0.000 0.250 0.875 1
B1 B 0.000 0.000 0.500 1
# ΔH_f (0 K), meV per atom: 357



# 4
VASP calculation (GGA-PBEsol) on a relaxed structure of Zn2PBr.

Geometry as CIF:
```
data_Zn2PBr
_cell_length_a 3.543
_cell_length_b 7.100
_cell_length_c 7.176
_cell_angle_alpha 90.00
_cell_angle_beta 90.00
_cell_angle_gamma 90.00
_space_group_name_H-M_alt 'I m m m'
_space_group_IT_number 71
_space_group_name_Hall '-I 2 2'
loop_
_atom_site_label
_atom_site_type_symbol
_atom_site_fract_x
_atom_site_fract_y
_atom_site_fract_z
_atom_site_occupancy
Zn1 Zn 0.000 0.217 0.000 1
P1 P 0.000 0.500 0.500 1
Br1 Br 0.000 0.000 0.500 1
```



# 5
# ScAsW2 GGA-PBEsol optimized geometry
data_ScAsW2
_cell_length_a 9.617
_cell_length_b 3.176
_cell_length_c 4.441
_cell_angle_alpha 90.00
_cell_angle_beta 103.55
_cell_angle_gamma 90.00
_space_group_name_H-M_alt 'C 1 2/m 1'
_space_group_IT_number 12
loop_
_space_group_symop_operation_xyz
'x,y,z'
'-x,-y,-z'
'-x,y,-z'
'x,-y,z'
'x+1/2,y+1/2,z'
'-x+1/2,-y+1/2,-z'
'-x+1/2,y+1/2,-z'
'x+1/2,-y+1/2,z'
loop_
_atom_site_label
_atom_site_type_symbol
_atom_site_fract_x
_atom_site_fract_y
_atom_site_fract_z
_atom_site_occupancy
Sc1 Sc 0.000 0.000 0.000 1
As1 As 0.000 0.500 0.500 1
W1 W 0.240 0.000 0.729 1
# ΔH_f (0 K), meV per atom: 49



# 6
VASP calculation (GGA-PBEsol) on a relaxed structure of TlAgSeBr2.

Geometry as CIF:
```
data_TlAgSeBr2
_cell_length_a 5.266
_cell_length_b 5.266
_cell_length_c 5.023
_cell_angle_alpha 90.00
_cell_angle_beta 90.00
_cell_angle_gamma 90.00
_space_group_name_H-M_alt 'P 4/m m m'
_space_group_IT_number 123
_space_group_name_Hall '-P 4 2'
loop_
_atom_site_label
_atom_site_type_symbol
_atom_site_fract_x
_atom_site_fract_y
_atom_site_fract_z
_atom_site_occupancy
Tl1 Tl 0.000 0.000 0.000 1
Ag1 Ag 0.500 0.500 0.500 1
Se1 Se 0.500 0.500 0.000 1
Br1 Br 0.000 0.500 0.500 1
```



# 7
# YNi3Ir GGA-PBEsol optimized geometry
data_YNi3Ir
_cell_length_a 4.491
_cell_length_b 4.491
_cell_length_c 4.491
_cell_angle_alpha 90.00
_cell_angle_beta 90.00
_cell_angle_gamma 90.00
_space_group_name_H-M_alt 'P m -3 m'
_space_group_IT_number 221
_space_group_name_Hall '-P 4 2 3'
loop_
_atom_site_label
_atom_site_type_symbol
_atom_site_fract_x
_atom_site_fract_y
_atom_site_fract_z
_atom_site_occupancy
Y1 Y 0.000 0.000 0.000 1
Ni1 Ni 0.000 0.500 0.500 1
Ir1 Ir 0.500 0.500 0.500 1
# ΔH_f (0 K), meV per atom: 515



# 8
VASP calculation (GGA-PBEsol) on a relaxed structure of NaClF2.

Geometry as CIF:
```
data_NaClF2
_cell_length_a 3.6942
_cell_length_b 3.6942
_cell_length_c 17.1152
_cell_angle_alpha 90.00
_cell_angle_beta 90.00
_cell_angle_gamma 120.00
_space_group_name_H-M_alt 'R -3 m'
_space_group_IT_number 166
_space_group_name_Hall '-R 3 2"'
loop_
_atom_site_label
_atom_site_type_symbol
_atom_site_fract_x
_atom_site_fract_y
_atom_site_fract_z
_atom_site_occupancy
Na1 Na 0.0000 0.0000 0.0000 1
Cl1 Cl 0.0000 0.0000 0.5000 1
F1 F 0.0000 0.0000 0.3903 1
```



# 9
VASP calculation (GGA-PBEsol) on a relaxed structure of Ba2Ti13O22.

Geometry as CIF:
```
data_Ba2Ti13O22
_cell_length_a 11.562
_cell_length_b 9.954
_cell_length_c 14.047
_cell_angle_alpha 90.00
_cell_angle_beta 90.00
_cell_angle_gamma 90.00
_space_group_name_H-M_alt 'C m c e'
_space_group_IT_number 64
_space_group_name_Hall '-C 2ac 2'
loop_
_atom_site_label
_atom_site_type_symbol
_atom_site_fract_x
_atom_site_fract_y
_atom_site_fract_z
_atom_site_occupancy
Ba1 Ba 0.000 0.167 0.087 1
Ti1 Ti 0.000 0.000 0.500 1
Ti2 Ti 0.000 0.166 0.833 1
Ti3 Ti 0.130 0.074 0.327 1
Ti4 Ti 0.244 0.000 0.000 1
Ti5 Ti 0.248 0.173 0.847 1
O1 O 0.000 0.003 0.751 1
O2 O 0.000 0.160 0.407 1
O3 O 0.120 0.090 0.919 1
O4 O 0.124 0.089 0.580 1
O5 O 0.129 0.248 0.251 1
O6 O 0.249 0.154 0.088 1
O7 O 0.250 0.018 0.750 1
```



# 10
# HfFeP GGA-PBEsol optimized geometry
data_HfFeP
_cell_length_a 6.176
_cell_length_b 3.695
_cell_length_c 6.935
_cell_angle_alpha 90.00
_cell_angle_beta 90.00
_cell_angle_gamma 90.00
_space_group_name_H-M_alt 'P n m a'
_space_group_IT_number 62
loop_
_space_group_symop_operation_xyz
'x,y,z'
'-x,-y,-z'
'-x+1/2,-y,z+1/2'
'x+1/2,y,-z+1/2'
'x+1/2,-y+1/2,-z+1/2'
'-x+1/2,y+1/2,z+1/2'
'-x,y+1/2,-z'
'x,-y+1/2,z'
loop_
_atom_site_label
_atom_site_type_symbol
_atom_site_fract_x
_atom_site_fract_y
_atom_site_fract_z
_atom_site_occupancy
Hf1 Hf 0.016 0.250 0.185 1
Fe1 Fe 0.148 0.250 0.562 1
P1 P 0.219 0.750 0.386 1
# ΔH_f (0 K), meV per atom: -1157



# 11
VASP calculation (GGA-PBEsol) on a relaxed structure of CuSb3P6O24.

Geometry as CIF:
```
data_CuSb3P6O24
_cell_length_a 8.2637
_cell_length_b 8.2637
_cell_length_c 22.3030
_cell_angle_alpha 90.00
_cell_angle_beta 90.00
_cell_angle_gamma 120.00
_space_group_name_H-M_alt 'R 3'
_space_group_IT_number 146
_space_group_name_Hall 'R 3'
loop_
_atom_site_label
_atom_site_type_symbol
_atom_site_fract_x
_atom_site_fract_y
_atom_site_fract_z
_atom_site_occupancy
Cu1 Cu 0.0000 0.0000 0.0000 1
Sb1 Sb 0.0000 0.0000 0.2082 1
Sb2 Sb 0.0000 0.0000 0.4933 1
Sb3 Sb 0.0000 0.0000 0.7005 1
P1 P 0.0033 0.2837 0.0978 1
P2 P 0.0055 0.7124 0.6018 1
O1 O 0.0013 0.7999 0.5404 1
O2 O 0.0346 0.2033 0.4395 1
O3 O 0.0872 0.2230 0.7515 1
O4 O 0.0912 0.2228 0.0500 1
O5 O 0.1423 0.4588 0.8267 1
O6 O 0.1672 0.7030 0.9292 1
O7 O 0.1983 0.7564 0.3167 1
O8 O 0.2024 0.7608 0.6156 1
```



# 12
# YMnRu2 GGA-PBEsol optimized geometry
data_YMnRu2
_cell_length_a 2.8235
_cell_length_b 2.8235
_cell_length_c 27.3404
_cell_angle_alpha 90.00
_cell_angle_beta 90.00
_cell_angle_gamma 120.00
_space_group_name_H-M_alt 'R 3 m'
_space_group_IT_number 160
_space_group_name_Hall 'R 3 -2"'
loop_
_atom_site_label
_atom_site_type_symbol
_atom_site_fract_x
_atom_site_fract_y
_atom_site_fract_z
_atom_site_occupancy
Y1 Y 0.0000 0.0000 0.0000 1
Mn1 Mn 0.0000 0.0000 0.7585 1
Ru1 Ru 0.0000 0.0000 0.2397 1
Ru2 Ru 0.0000 0.0000 0.4990 1
# ΔH_f (0 K), meV per atom: 588



# 13
# Na2MnCrW GGA-PBEsol optimized geometry
data_Na2MnCrW
_cell_length_a 5.087
_cell_length_b 5.087
_cell_length_c 4.146
_cell_angle_alpha 90.00
_cell_angle_beta 90.00
_cell_angle_gamma 90.00
_space_group_name_H-M_alt 'P 4/m m m'
_space_group_IT_number 123
_space_group_name_Hall '-P 4 2'
loop_
_atom_site_label
_atom_site_type_symbol
_atom_site_fract_x
_atom_site_fract_y
_atom_site_fract_z
_atom_site_occupancy
Na1 Na 0.000 0.500 0.000 1
Mn1 Mn 0.000 0.000 0.500 1
Cr1 Cr 0.000 0.000 0.000 1
W1 W 0.500 0.500 0.500 1
# ΔH_f (0 K), meV per atom: 2225



# 14
# CaMg2Ag GGA-PBEsol optimized geometry
data_CaMg2Ag
_cell_length_a 4.420
_cell_length_b 4.420
_cell_length_c 4.802
_cell_angle_alpha 90.00
_cell_angle_beta 90.00
_cell_angle_gamma 90.00
_space_group_name_H-M_alt 'P 4/m m m'
_space_group_IT_number 123
_space_group_name_Hall '-P 4 2'
loop_
_atom_site_label
_atom_site_type_symbol
_atom_site_fract_x
_atom_site_fract_y
_atom_site_fract_z
_atom_site_occupancy
Ca1 Ca 0.000 0.000 0.000 1
Mg1 Mg 0.000 0.500 0.500 1
Ag1 Ag 0.500 0.500 0.000 1
# ΔH_f (0 K), meV per atom: -93



# 15
VASP calculation (GGA-PBEsol) on a relaxed structure of Cr2P3O12.

Geometry as CIF:
```
data_Cr2P3O12
_cell_length_a 8.3634
_cell_length_b 8.3634
_cell_length_c 21.1480
_cell_angle_alpha 90.00
_cell_angle_beta 90.00
_cell_angle_gamma 120.00
_space_group_name_H-M_alt 'R -3 c'
_space_group_IT_number 167
_space_group_name_Hall '-R 3 2"c'
loop_
_atom_site_label
_atom_site_type_symbol
_atom_site_fract_x
_atom_site_fract_y
_atom_site_fract_z
_atom_site_occupancy
Cr1 Cr 0.0000 0.0000 0.1406 1
P1 P 0.0000 0.2826 0.2500 1
O1 O 0.0299 0.1919 0.9104 1
O2 O 0.0299 0.1957 0.1907 1
```



# 16
VASP calculation (GGA-PBEsol) on a relaxed structure of TlCrSi2.

Geometry as CIF:
```
data_TlCrSi2
_cell_length_a 3.996
_cell_length_b 3.382
_cell_length_c 9.586
_cell_angle_alpha 90.00
_cell_angle_beta 90.00
_cell_angle_gamma 90.00
_space_group_name_H-M_alt 'A m m 2'
_space_group_IT_number 38
loop_
_space_group_symop_operation_xyz
'x,y,z'
'-x,-y,z'
'-x,y,z'
'x,-y,z'
'x,y+1/2,z+1/2'
'-x,-y+1/2,z+1/2'
'-x,y+1/2,z+1/2'
'x,-y+1/2,z+1/2'
loop_
_atom_site_label
_atom_site_type_symbol
_atom_site_fract_x
_atom_site_fract_y
_atom_site_fract_z
_atom_site_occupancy
Tl1 Tl 0.000 0.000 0.000 1
Cr1 Cr 0.500 0.000 0.395 1
Si1 Si 0.000 0.000 0.267 1
Si2 Si 0.500 0.000 0.704 1
```



# 17
# SrHgGe3 GGA-PBEsol optimized geometry
data_SrHgGe3
_cell_length_a 5.591
_cell_length_b 5.591
_cell_length_c 5.591
_cell_angle_alpha 90.00
_cell_angle_beta 90.00
_cell_angle_gamma 90.00
_space_group_name_H-M_alt 'P m -3 m'
_space_group_IT_number 221
_space_group_name_Hall '-P 4 2 3'
loop_
_atom_site_label
_atom_site_type_symbol
_atom_site_fract_x
_atom_site_fract_y
_atom_site_fract_z
_atom_site_occupancy
Sr1 Sr 0.000 0.000 0.000 1
Hg1 Hg 0.500 0.500 0.500 1
Ge1 Ge 0.000 0.000 0.500 1
# ΔH_f (0 K), meV per atom: 1217



# 18
VASP calculation (GGA-PBEsol) on a relaxed structure of Ta2AgSb.

Geometry as CIF:
```
data_Ta2AgSb
_cell_length_a 3.435
_cell_length_b 3.435
_cell_length_c 6.161
_cell_angle_alpha 90.00
_cell_angle_beta 90.00
_cell_angle_gamma 90.00
_space_group_name_H-M_alt 'P 4/m m m'
_space_group_IT_number 123
_space_group_name_Hall '-P 4 2'
loop_
_atom_site_label
_atom_site_type_symbol
_atom_site_fract_x
_atom_site_fract_y
_atom_site_fract_z
_atom_site_occupancy
Ta1 Ta 0.000 0.000 0.243 1
Ag1 Ag 0.500 0.500 0.500 1
Sb1 Sb 0.500 0.500 0.000 1
```



# 19
# Y2ReRu GGA-PBEsol optimized geometry
data_Y2ReRu
_cell_length_a 3.058
_cell_length_b 3.058
_cell_length_c 8.844
_cell_angle_alpha 90.00
_cell_angle_beta 90.00
_cell_angle_gamma 90.00
_space_group_name_H-M_alt 'P 4 m m'
_space_group_IT_number 99
loop_
_space_group_symop_operation_xyz
'x,y,z'
'-y,x,z'
'-x,-y,z'
'y,-x,z'
'-x,y,z'
'y,x,z'
'x,-y,z'
'-y,-x,z'
loop_
_atom_site_label
_atom_site_type_symbol
_atom_site_fract_x
_atom_site_fract_y
_atom_site_fract_z
_atom_site_occupancy
Y1 Y 0.000 0.000 0.000 1
Y2 Y 0.500 0.500 0.366 1
Re1 Re 0.000 0.000 0.603 1
Ru1 Ru 0.500 0.500 0.766 1
# ΔH_f (0 K), meV per atom: 65



# 20
# NaY2AsOs GGA-PBEsol optimized geometry
data_NaY2AsOs
_cell_length_a 5.288
_cell_length_b 5.288
_cell_length_c 4.736
_cell_angle_alpha 90.00
_cell_angle_beta 90.00
_cell_angle_gamma 90.00
_space_group_name_H-M_alt 'P 4/m m m'
_space_group_IT_number 123
_space_group_name_Hall '-P 4 2'
loop_
_atom_site_label
_atom_site_type_symbol
_atom_site_fract_x
_atom_site_fract_y
_atom_site_fract_z
_atom_site_occupancy
Na1 Na 0.000 0.000 0.000 1
Y1 Y 0.000 0.500 0.500 1
As1 As 0.000 0.000 0.500 1
Os1 Os 0.500 0.500 0.000 1
# ΔH_f (0 K), meV per atom: 591



# 21
VASP calculation (GGA-PBEsol) on a relaxed structure of Sr2MoCl.

Geometry as CIF:
```
data_Sr2MoCl
_cell_length_a 3.350
_cell_length_b 3.350
_cell_length_c 8.847
_cell_angle_alpha 90.00
_cell_angle_beta 90.07
_cell_angle_gamma 90.00
_space_group_name_H-M_alt 'P 1 2/m 1'
_space_group_IT_number 10
loop_
_space_group_symop_operation_xyz
'x,y,z'
'-x,-y,-z'
'-x,y,-z'
'x,-y,z'
loop_
_atom_site_label
_atom_site_type_symbol
_atom_site_fract_x
_atom_site_fract_y
_atom_site_fract_z
_atom_site_occupancy
Sr1 Sr 0.001 0.000 0.253 1
Mo1 Mo 0.500 0.500 0.000 1
Cl1 Cl 0.500 0.500 0.500 1
```



| no. | electronic total energy (eV per atom) | size of the total moment (μB/f.u.) | V (Å³ per cell) |
| --- | --- | --- | --- |
| 1 | -2.564 | 0.001 | 214.7 |
| 2 | -6.799 | 0.000 | 579.9 |
| 3 | -6.169 | 0.000 | 158.7 |
| 4 | -2.568 | 0.001 | 180.5 |
| 5 | -9.782 | 0.000 | 131.9 |
| 6 | -2.835 | 0.001 | 139.3 |
| 7 | -6.509 | 1.957 | 90.6 |
| 8 | -3.449 | 0.000 | 202.3 |
| 9 | -9.184 | 0.002 | 1616.6 |
| 10 | -9.576 | 0.001 | 158.2 |
| 11 | -7.043 | 1.991 | 1319.0 |
| 12 | -8.644 | 2.607 | 188.8 |
| 13 | -5.097 | 3.871 | 107.3 |
| 14 | -2.313 | 0.000 | 93.8 |
| 15 | -7.911 | 3.000 | 1281.0 |
| 16 | -5.702 | 0.000 | 129.5 |
| 17 | -2.227 | 0.005 | 174.8 |
| 18 | -7.903 | 0.000 | 72.7 |
| 19 | -9.222 | 0.000 | 82.7 |
| 20 | -5.883 | 0.620 | 132.4 |
| 21 | -4.449 | 0.001 | 99.3 |